# MgZnAg2 | Alexandria via LeMat-Bulk | meta-GGA SCAN | single point on PBEsol structure
data_MgZnAg2
_space_group_name_H-M_alt 'I -4 m 2'
_space_group_IT_number 119
_space_group_name_Hall 'I -4 -2'
_cell_length_a 3.9299
_cell_length_b 3.9299
_cell_length_c 8.4372
_cell_angle_alpha 90.00
_cell_angle_beta 90.00
_cell_angle_gamma 90.00
loop_
_atom_site_label
_atom_site_fract_x
_atom_site_fract_y
_atom_site_fract_z
_atom_site_occupancy
Mg1 0.0000 0.0000 0.0000 1
Zn1 0.0000 0.5000 0.2500 1
Ag1 0.0000 0.0000 0.5000 1
Ag2 0.0000 0.5000 0.7500 1
# - Density of states at the Fermi level: 1.641 states/eV per cell
# - DFT formation energy: -0.153 eV/atom

# Mg2ZnAg2 | Alexandria via LeMat-Bulk | meta-GGA SCAN | single point on PBEsol structure
data_Mg2ZnAg2
_space_group_name_H-M_alt 'P 4/m b m'
_space_group_IT_number 127
_space_group_name_Hall '-P 4 2ab'
_cell_length_a 6.9130
_cell_length_b 6.9130
_cell_length_c 3.8527
_cell_angle_alpha 90.00
_cell_angle_beta 90.00
_cell_angle_gamma 90.00
loop_
_atom_site_label
_atom_site_fract_x
_atom_site_fract_y
_atom_site_fract_z
_atom_site_occupancy
Mg1 0.1610 0.3390 0.0000 1
Zn1 0.0000 0.0000 0.5000 1
Ag1 0.1428 0.6428 0.5000 1
# - Density of states at the Fermi level: 3.266 states/eV per cell
# - DFT formation energy: -0.126 eV/atom

# MgZn2Ag | Alexandria via LeMat-Bulk | meta-GGA SCAN | single point on PBEsol structure
data_MgZn2Ag
_space_group_name_H-M_alt 'I 4/m m m'
_space_group_IT_number 139
_space_group_name_Hall '-I 4 2'
_cell_length_a 3.9751
_cell_length_b 3.9751
_cell_length_c 8.0188
_cell_angle_alpha 90.00
_cell_angle_beta 90.00
_cell_angle_gamma 90.00
loop_
_atom_site_label
_atom_site_fract_x
_atom_site_fract_y
_atom_site_fract_z
_atom_site_occupancy
Mg1 0.0000 0.0000 0.0000 1
Zn1 0.0000 0.5000 0.2500 1
Ag1 0.0000 0.0000 0.5000 1
# - Density of states at the Fermi level: 2.120 states/eV per cell
# - DFT formation energy: -0.104 eV/atom

# MgZn2Ag | Alexandria via LeMat-Bulk | meta-GGA SCAN | single point on PBEsol structure
data_MgZn2Ag
_space_group_name_H-M_alt 'P 4 m m'
_space_group_IT_number 99
_space_group_name_Hall 'P 4 -2'
_cell_length_a 3.2954
_cell_length_b 3.2954
_cell_length_c 5.9012
_cell_angle_alpha 90.00
_cell_angle_beta 90.00
_cell_angle_gamma 90.00
loop_
_atom_site_label
_atom_site_fract_x
_atom_site_fract_y
_atom_site_fract_z
_atom_site_occupancy
Mg1 0.0000 0.0000 0.0000 1
Zn1 0.0000 0.0000 0.4918 1
Zn2 0.5000 0.5000 0.2672 1
Ag1 0.5000 0.5000 0.7363 1
# - Density of states at the Fermi level: 1.030 states/eV per cell
# - DFT formation energy: -0.103 eV/atom

# MgZn2Ag | Alexandria via LeMat-Bulk | meta-GGA SCAN | single point on PBEsol structure
data_MgZn2Ag
_space_group_name_H-M_alt 'C m m m'
_space_group_IT_number 65
_space_group_name_Hall '-C 2 2'
_cell_length_a 5.6059
_cell_length_b 7.8164
_cell_length_c 2.9340
_cell_angle_alpha 90.00
_cell_angle_beta 90.00
_cell_angle_gamma 90.00
loop_
_atom_site_label
_atom_site_fract_x
_atom_site_fract_y
_atom_site_fract_z
_atom_site_occupancy
Mg1 0.0000 0.0000 0.0000 1
Zn1 0.2500 0.2500 0.5000 1
Ag1 0.0000 0.5000 0.0000 1
# - Density of states at the Fermi level: 2.347 states/eV per cell
# - DFT formation energy: -0.048 eV/atom

# Mg2ZnAg | Alexandria via LeMat-Bulk | meta-GGA SCAN | single point on PBEsol structure
data_Mg2ZnAg
_space_group_name_H-M_alt 'P 4 m m'
_space_group_IT_number 99
_space_group_name_Hall 'P 4 -2'
_cell_length_a 3.4135
_cell_length_b 3.4135
_cell_length_c 6.1077
_cell_angle_alpha 90.00
_cell_angle_beta 90.00
_cell_angle_gamma 90.00
loop_
_atom_site_label
_atom_site_fract_x
_atom_site_fract_y
_atom_site_fract_z
_atom_site_occupancy
Mg1 0.0000 0.0000 0.0000 1
Mg2 0.5000 0.5000 0.2998 1
Zn1 0.0000 0.0000 0.5347 1
Ag1 0.5000 0.5000 0.7622 1
# - Density of states at the Fermi level: 1.065 states/eV per cell
# - DFT formation energy: -0.122 eV/atom

# Mg2ZnAg | Alexandria via LeMat-Bulk | meta-GGA SCAN | single point on PBEsol structure
data_Mg2ZnAg
_space_group_name_H-M_alt 'P 4/m m m'
_space_group_IT_number 123
_space_group_name_Hall '-P 4 2'
_cell_length_a 4.5281
_cell_length_b 4.5281
_cell_length_c 3.4028
_cell_angle_alpha 90.00
_cell_angle_beta 90.00
_cell_angle_gamma 90.00
loop_
_atom_site_label
_atom_site_fract_x
_atom_site_fract_y
_atom_site_fract_z
_atom_site_occupancy
Mg1 0.0000 0.5000 0.0000 1
Zn1 0.0000 0.0000 0.5000 1
Ag1 0.5000 0.5000 0.5000 1
# - Density of states at the Fermi level: 0.932 states/eV per cell
# - DFT formation energy: -0.214 eV/atom

# MgZnAg2 | Alexandria via LeMat-Bulk | meta-GGA SCAN | single point on PBEsol structure
data_MgZnAg2
_space_group_name_H-M_alt 'C 1 m 1'
_space_group_IT_number 8
_space_group_name_Hall 'C -2y'
_cell_length_a 9.7144
_cell_length_b 3.1707
_cell_length_c 4.5342
_cell_angle_alpha 90.00
_cell_angle_beta 110.07
_cell_angle_gamma 90.00
loop_
_atom_site_label
_atom_site_fract_x
_atom_site_fract_y
_atom_site_fract_z
_atom_site_occupancy
Mg1 0.0000 0.0000 0.0000 1
Zn1 0.2451 0.0000 0.6954 1
Ag1 0.0093 0.5000 0.5117 1
Ag2 0.2545 0.5000 0.2094 1
# - Density of states at the Fermi level: 2.265 states/eV per cell
# - DFT formation energy: -0.130 eV/atom